[1]
First-principles (PBE) data for SrLiTc3 after structural relaxation, as listed in Alexandria via LeMat-Bulk.

Values from the calculation:
D(E_F): 8.28 states/eV/cell
Formation energy: 1465 meV per atom
Symmetry: Pm-3m, No. 221

a b c (Å): 4.4606 4.4606 4.4606
angles (deg): 90.00 90.00 90.00
Last column: nearest neighbours and their distance in Å.
Fractional positions:
Sr 0.0000 0.0000 0.0000  12 Tc 3.15
Li 0.5000 0.5000 0.5000  6 Tc 2.23
Tc 0.0000 0.5000 0.5000  2 Li 2.23
Tc 0.5000 0.0000 0.5000  2 Li 2.23
Tc 0.5000 0.5000 0.0000  2 Li 2.23

=====

[2]
First-principles (PBE) data for CsCa2Hg2 after structural relaxation, as listed in Alexandria via LeMat-Bulk.

Values from the calculation:
D(E_F): 10.11 states/eV/cell
Formation energy: -165 meV per atom
Symmetry: I4/mmm, No. 139

a b c (Å): 5.9204 5.9204 12.2780
angles (deg): 90.00 90.00 90.00
Last column: nearest neighbours and their distance in Å.
Fractional positions:
Cs 0.0000 0.0000 0.0000  10 Ca 4.15-4.64, 8 Hg 4.26
Cs 0.5000 0.5000 0.5000  10 Ca 4.15-4.64, 8 Hg 4.26
Ca 0.0000 0.0000 0.3380  4 Hg 3.15
Ca 0.0000 0.0000 0.6620  4 Hg 3.15
Ca 0.5000 0.5000 0.1620  4 Hg 3.15
Ca 0.5000 0.5000 0.8380  4 Hg 3.15
Hg 0.0000 0.5000 0.2500  4 Ca 3.15
Hg 0.0000 0.5000 0.7500  4 Ca 3.15
Hg 0.5000 0.0000 0.2500  4 Ca 3.15
Hg 0.5000 0.0000 0.7500  4 Ca 3.15

=====

[3]
First-principles (PBE) data for K3Ac2TmSe6 after structural relaxation, as listed in Alexandria via LeMat-Bulk.

Values from the calculation:
Formation energy without anion corrections: -1.78 eV per atom
D(E_F): 0.00 states/eV/cell
Symmetry: C2/m, No. 12

a b c (Å): 7.7008 7.7008 8.1421
angles (deg): 99.11 99.11 120.01
Last column: nearest neighbours and their distance in Å.
Fractional positions:
K 0.0000 0.0000 0.0000  6 Se 3.34-3.53
K 0.3326 0.6674 0.0000  6 Se 3.34-3.51
K 0.6674 0.3326 0.0000  6 Se 3.34-3.51
Ac 0.1665 0.8335 0.5000  6 Se 3.11-3.12
Ac 0.8335 0.1665 0.5000  6 Se 3.11-3.12
Tm 0.5000 0.5000 0.5000  6 Se 2.90-2.91
Se 0.1171 0.4292 0.2878  1 Tm 2.91, 2 Ac 3.12
Se 0.2590 0.2590 0.7110  1 Tm 2.90, 2 Ac 3.11
Se 0.4292 0.1171 0.2878  1 Tm 2.91, 2 Ac 3.12
Se 0.5708 0.8829 0.7122  1 Tm 2.91, 2 Ac 3.12
Se 0.7410 0.7410 0.2890  1 Tm 2.90, 2 Ac 3.11
Se 0.8829 0.5708 0.7122  1 Tm 2.91, 2 Ac 3.12

=====

[4]
First-principles (PBE) data for PrNdErSn after structural relaxation, as listed in Alexandria via LeMat-Bulk.

Values from the calculation:
D(E_F): 25.74 states/eV/cell
Formation energy: -261 meV per atom
Symmetry: F-43m, No. 216

a b c (Å): 7.8302 7.8302 7.8302
angles (deg): 90.00 90.00 90.00
Last column: nearest neighbours and their distance in Å.
Fractional positions:
Pr 0.0000 0.0000 0.0000  4 Sn 3.39, 4 Er 3.39
Pr 0.0000 0.5000 0.5000  4 Sn 3.39, 4 Er 3.39
Pr 0.5000 0.0000 0.5000  4 Sn 3.39, 4 Er 3.39
Pr 0.5000 0.5000 0.0000  4 Sn 3.39, 4 Er 3.39
Nd 0.0000 0.0000 0.5000  4 Er 3.39, 4 Sn 3.39
Nd 0.0000 0.5000 0.0000  4 Er 3.39, 4 Sn 3.39
Nd 0.5000 0.0000 0.0000  4 Er 3.39, 4 Sn 3.39
Nd 0.5000 0.5000 0.5000  4 Er 3.39, 4 Sn 3.39
Er 0.2500 0.2500 0.2500  4 Pr 3.39, 4 Nd 3.39
Er 0.2500 0.7500 0.7500  4 Pr 3.39, 4 Nd 3.39
Er 0.7500 0.2500 0.7500  4 Pr 3.39, 4 Nd 3.39
Er 0.7500 0.7500 0.2500  4 Pr 3.39, 4 Nd 3.39
Sn 0.2500 0.2500 0.7500  4 Pr 3.39, 4 Nd 3.39
Sn 0.2500 0.7500 0.2500  4 Pr 3.39, 4 Nd 3.39
Sn 0.7500 0.2500 0.2500  4 Pr 3.39, 4 Nd 3.39
Sn 0.7500 0.7500 0.7500  4 Pr 3.39, 4 Nd 3.39

=====

Q: Among the records above, which one has the lowest D(E_F)?
A: K3Ac2TmSe6